{
  "formula": "MnSeNO2",
  "functional": "PBE with a Hubbard U",
  "state": "relaxed",
  "cell": [[3.6944, 0.0000, 0.0000], [0.0000, 3.6944, 0.0000], [0.0000, 0.0000, 4.0953]],
  "species": ["Mn", "Se", "N", "O", "O"],
  "fractional_positions": [[0.0000, 0.0000, 0.0000], [0.5000, 0.5000, 0.5000], [0.0000, 0.0000, 0.5000], [0.0000, 0.5000, 0.0000], [0.5000, 0.0000, 0.0000]],
  "final_energy_ry_per_atom": -0.4056,
  "spacegroup": "P4/mmm (123)",
  "dos_at_fermi_per_ev_cell": 1.86,
  "magmom_total_mub_per_atom": 0.596,
  "crystal_system": "tetragonal"
}